No. 1
DFT (GGA-PBE) results for SmHoZnCd after structural relaxation.

extended XYZ file:
```
4
Lattice="0.0000 3.6947 3.6947 3.6947 0.0000 3.6947 3.6947 3.6947 0.0000" Properties=species:S:1:pos:R:3 pbc="T T T"
Sm 0.0000 0.0000 0.0000
Ho 3.6947 3.6947 3.6947
Zn 1.8474 1.8474 1.8474
Cd 5.5421 5.5421 5.5421
```

ΔE_f (eV per atom): -0.302
Uncorrected energy (eV per atom): -3.174
ρ (g/cm3): 8.1
D(E_F) (states/eV/f.u.): 4.6
V (Å³ per atom): 25.22
Excess energy over the best structure of this formula in the dataset (kJ/mol of formula units): 9
Symmetry: F-43m (216)

---

No. 2
DFT (GGA-PBE) results for Cs3SrMn2Cl9 after structural relaxation.

extended XYZ file:
```
15
Lattice="7.5210 0.0000 0.0000 -3.7605 6.5134 0.0000 0.0000 0.0000 9.2779" Properties=species:S:1:pos:R:3 pbc="T T T"
Cs 0.0000 0.0000 0.0000
Cs 0.0000 4.3422 6.2852
Cs 3.7605 2.1711 2.9927
Sr 0.0000 0.0000 4.6390
Mn 0.0000 4.3422 1.4471
Mn 3.7605 2.1711 7.8308
Cl -1.8802 3.2567 0.0000
Cl 0.0000 2.2973 2.9411
Cl -1.7709 5.3647 2.9411
Cl 1.9895 1.1487 6.3369
Cl 3.7605 0.0000 0.0000
Cl 1.8802 3.2567 0.0000
Cl 1.7710 5.3647 2.9411
Cl 5.5314 1.1487 6.3369
Cl 3.7605 4.2160 6.3369
```

Uncorrected energy (eV per atom): -4.361
ρ (g/cm3): 3.3
D(E_F) (states/eV/f.u.): 0.0
V (Å³ per atom): 30.30
ΔE_f (raw) (meV per atom): -1748
Symmetry: P-3m1 (164)

---

No. 3
DFT (GGA-PBE) results for CeSm2Rh after structural relaxation.

extended XYZ file:
```
16
Lattice="7.1347 0.0000 0.0000 0.0000 9.8247 0.0000 0.0000 0.0000 6.4627" Properties=species:S:1:pos:R:3 pbc="T T T"
Ce 0.2863 2.4562 1.0019
Ce 3.2811 7.3685 4.2333
Ce 3.8536 2.4562 2.2294
Ce 6.8484 7.3685 5.4608
Sm 1.2740 0.6393 4.3085
Sm 1.2740 4.2730 4.3085
Sm 2.2934 5.5516 1.0772
Sm 2.2934 9.1854 1.0772
Sm 4.8413 0.6393 5.3855
Sm 4.8413 4.2730 5.3855
Sm 5.8607 5.5516 2.1541
Sm 5.8607 9.1854 2.1541
Rh 0.9297 7.3685 3.0077
Rh 2.6376 2.4562 6.2390
Rh 4.4970 7.3685 0.2237
Rh 6.2049 2.4562 3.4550
```

ΔE_f (eV per atom): -0.418
Uncorrected energy (eV per atom): -6.099
ρ (g/cm3): 8.0
D(E_F) (states/eV/f.u.): 8.0
V (Å³ per atom): 28.31
Excess energy over the best structure of this formula in the dataset (kJ/mol of formula units): 0
Symmetry: Pnma (62)

---

No. 4
DFT (GGA-PBE) results for BaLa2NbTc after structural relaxation.

extended XYZ file:
```
5
Lattice="5.4260 0.0000 0.0000 0.0000 5.4260 0.0000 0.0000 0.0000 5.8136" Properties=species:S:1:pos:R:3 pbc="T T T"
Ba 0.0000 0.0000 0.0000
La 0.0000 2.7130 2.9068
La 2.7130 0.0000 2.9068
Nb 0.0000 0.0000 2.9068
Tc 2.7130 2.7130 0.0000
```

ΔE_f (eV per atom): 1.380
Uncorrected energy (eV per atom): -5.063
ρ (g/cm3): 5.9
D(E_F) (states/eV/f.u.): 11.2
V (Å³ per atom): 34.23
Symmetry: P4/mmm (123)

---

No. 5
DFT (GGA-PBE) results for Sr2Cu after structural relaxation.

extended XYZ file:
```
6
Lattice="7.9132 -2.1841 0.0000 7.9132 2.1841 0.0000 -1.2384 0.0000 6.5972" Properties=species:S:1:pos:R:3 pbc="T T T"
Sr 1.0258 0.0000 1.8979
Sr 5.1593 0.0000 1.2552
Sr 9.4287 0.0000 5.3419
Sr 13.5623 0.0000 4.6992
Cu 3.4279 0.0000 3.9368
Cu 11.1601 0.0000 2.6604
```

ΔE_f (eV per atom): -0.075
Uncorrected energy (eV per atom): -2.562
ρ (g/cm3): 3.5
D(E_F) (states/eV/f.u.): 2.2
V (Å³ per atom): 38.01
Symmetry: C2/m (12)

---

No. 6
DFT (GGA-PBE) results for CaMnNi2 after structural relaxation.

extended XYZ file:
```
4
Lattice="0.0000 3.1331 3.1331 3.1331 0.0000 3.1331 3.1331 3.1331 0.0000" Properties=species:S:1:pos:R:3 pbc="T T T"
Ca 0.0000 0.0000 0.0000
Mn 4.6996 4.6996 4.6996
Ni 1.5665 1.5665 1.5665
Ni 3.1331 3.1331 3.1331
```

ΔE_f (eV per atom): 0.339
Uncorrected energy (eV per atom): -5.344
ρ (g/cm3): 5.7
D(E_F) (states/eV/f.u.): 3.8
V (Å³ per atom): 15.38
Excess energy over the best structure of this formula in the dataset (kJ/mol of formula units): 139
Symmetry: F-43m (216)